# 1
A geometry-optimized BMo2P structure, computed with PBE.

Cell: 4.118 4.118 4.118 Å, 60.00 60.00 60.00°
Sites, in units of the cell vectors:
1 B 0.000 0.000 0.000
2 Mo 0.250 0.250 0.250
3 Mo 0.750 0.750 0.750
4 P 0.500 0.500 0.500

D(E_F), states/eV per cell: 4.8
Formation energy, eV per atom: 0.05
Space-group type: No. 225
Energy, eV/atom: -8.38

---

# 2
A geometry-optimized BMo2P structure, computed with PBE.

Cell: 6.394 6.394 6.394 Å, 133.95 133.95 67.17°
Sites, in units of the cell vectors:
1 B 0.000 0.000 0.000
2 B 0.750 0.250 0.500
3 Mo 0.077 0.625 0.952
4 Mo 0.375 0.327 0.452
5 Mo 0.673 0.125 0.048
6 Mo 0.875 0.923 0.548
7 P 0.250 0.750 0.500
8 P 0.500 0.500 0.000

D(E_F), states/eV per cell: 5.6
Formation energy, eV per atom: 0.51
Space-group type: No. 122
Energy, eV/atom: -7.93

---

# 3
A geometry-optimized BMo4P structure, computed with PBE.

Cell: 6.635 6.635 5.334 Å, 106.92 106.92 118.16°
Sites, in units of the cell vectors:
1 B 0.053 0.947 0.750
2 B 0.947 0.053 0.250
3 Mo 0.090 0.663 0.871
4 Mo 0.209 0.308 0.723
5 Mo 0.308 0.209 0.223
6 Mo 0.337 0.910 0.629
7 Mo 0.663 0.090 0.371
8 Mo 0.692 0.791 0.777
9 Mo 0.791 0.692 0.277
10 Mo 0.910 0.337 0.129
11 P 0.376 0.624 0.250
12 P 0.624 0.376 0.750

D(E_F), states/eV per cell: 8.0
Formation energy, eV per atom: -0.15
Space-group type: No. 15
Energy, eV/atom: -9.38

---

# 4
A geometry-optimized B2MoP structure, computed with PBE.

Cell: 5.337 5.337 5.337 Å, 123.53 123.53 83.99°
Sites, in units of the cell vectors:
1 B 0.088 0.625 0.963
2 B 0.375 0.338 0.463
3 B 0.662 0.125 0.037
4 B 0.875 0.912 0.537
5 Mo 0.250 0.750 0.500
6 Mo 0.500 0.500 0.000
7 P 0.000 0.000 0.000
8 P 0.750 0.250 0.500

D(E_F), states/eV per cell: 4.4
Formation energy, eV per atom: 0.53
Space-group type: No. 122
Energy, eV/atom: -6.87

---

# 5
A geometry-optimized BMo2PPt structure, computed with PBE.

Cell: 4.585 4.585 3.543 Å, 90.00 90.00 90.00°
Sites, in units of the cell vectors:
1 B 0.000 0.000 0.000
2 Mo 0.000 0.500 0.500
3 Mo 0.500 0.000 0.500
4 P 0.000 0.000 0.500
5 Pt 0.500 0.500 0.000

D(E_F), states/eV per cell: 5.7
Formation energy, eV per atom: 0.83
Space-group type: No. 123
Energy, eV/atom: -7.13

---

# 6
A geometry-optimized BMoP2S structure, computed with PBE.

Cell: 4.739 4.739 4.582 Å, 90.00 90.00 90.00°
Sites, in units of the cell vectors:
1 B 0.000 0.000 0.000
2 Mo 0.500 0.500 0.500
3 P 0.000 0.500 0.500
4 P 0.500 0.000 0.500
5 S 0.500 0.500 0.000

D(E_F), states/eV per cell: 3.3
E_form (uncorrected), eV per atom: 1.24
Space-group type: No. 123
Energy, eV/atom: -5.25

---

# 7
A geometry-optimized BMoP2S structure, computed with PBE.

Cell: 3.953 3.953 4.434 Å, 90.00 90.00 90.00°
Sites, in units of the cell vectors:
1 B 0.000 0.000 0.000
2 Mo 0.500 0.500 0.500
3 P 0.000 0.500 0.000
4 P 0.500 0.000 0.000
5 S 0.000 0.000 0.500

D(E_F), states/eV per cell: 4.6
E_form (uncorrected), eV per atom: 0.89
Space-group type: No. 123
Energy, eV/atom: -5.60

---

# 8
A geometry-optimized BTeMo2P structure, computed with PBE.

Cell: 5.082 5.082 5.052 Å, 90.00 90.00 90.00°
Sites, in units of the cell vectors:
1 B 0.000 0.000 0.000
2 Te 0.500 0.500 0.500
3 Mo 0.000 0.500 0.500
4 Mo 0.500 0.000 0.500
5 P 0.500 0.500 0.000

D(E_F), states/eV per cell: 4.9
E_form (uncorrected), eV per atom: 2.68
Space-group type: No. 123
Energy, eV/atom: -4.69

---

# 9
A geometry-optimized TiBMo2P structure, computed with PBE.

Cell: 4.367 4.367 3.554 Å, 90.00 90.00 90.00°
Sites, in units of the cell vectors:
1 Ti 0.000 0.000 0.000
2 B 0.500 0.500 0.500
3 Mo 0.000 0.500 0.500
4 Mo 0.500 0.000 0.500
5 P 0.500 0.500 0.000

D(E_F), states/eV per cell: 3.4
Formation energy, eV per atom: 0.27
Space-group type: No. 123
Energy, eV/atom: -8.06

---

# 10
A geometry-optimized V2BMoP structure, computed with PBE.

Cell: 4.253 4.253 4.401 Å, 90.00 90.00 90.00°
Sites, in units of the cell vectors:
1 V 0.000 0.500 0.000
2 V 0.500 0.000 0.000
3 B 0.000 0.000 0.500
4 Mo 0.500 0.500 0.500
5 P 0.500 0.500 0.000

D(E_F), states/eV per cell: 6.4
Formation energy, eV per atom: 1.08
Space-group type: No. 123
Energy, eV/atom: -7.15

---

# 11
A geometry-optimized BMoPW2 structure, computed with PBE.

Cell: 4.820 4.820 3.926 Å, 90.00 90.00 90.00°
Sites, in units of the cell vectors:
1 B 0.000 0.000 0.000
2 Mo 0.000 0.000 0.500
3 P 0.500 0.500 0.000
4 W 0.000 0.500 0.500
5 W 0.500 0.000 0.500

D(E_F), states/eV per cell: 5.2
Formation energy, eV per atom: 2.03
Space-group type: No. 123
Energy, eV/atom: -7.74

---

# 12
A geometry-optimized PaBMo structure, computed with PBE.

Cell: 11.439 11.439 11.439 Å, 15.89 15.89 15.89°
Sites, in units of the cell vectors:
1 Pa 0.214 0.214 0.214
2 Pa 0.786 0.786 0.786
3 B 0.067 0.067 0.067
4 B 0.933 0.933 0.933
5 Mo 0.366 0.366 0.366
6 Mo 0.634 0.634 0.634

D(E_F), states/eV per cell: 6.4
Formation energy, eV per atom: -0.04
Space-group type: No. 166
Energy, eV/atom: -9.05

---

# 13
A geometry-optimized PaBMo structure, computed with PBE.

Cell: 5.256 5.256 5.256 Å, 145.33 145.33 49.84°
Sites, in units of the cell vectors:
1 Pa 0.000 0.000 0.000
2 B 0.302 0.302 0.000
3 Mo 0.729 0.729 0.000

D(E_F), states/eV per cell: 1.8
Formation energy, eV per atom: -0.06
Space-group type: No. 107
Energy, eV/atom: -9.06

---

# 14
A geometry-optimized PaB14Mo structure, computed with PBE.

Cell: 7.446 7.446 7.446 Å, 133.57 84.87 113.59°
Sites, in units of the cell vectors:
1 Pa 0.374 0.124 0.250
2 Pa 0.626 0.876 0.750
3 B 0.008 0.127 0.880
4 B 0.026 0.204 0.331
5 B 0.026 0.696 0.822
6 B 0.094 0.673 0.421
7 B 0.199 0.530 0.668
8 B 0.228 0.500 0.405
9 B 0.228 0.823 0.728
10 B 0.247 0.327 0.921
11 B 0.253 0.873 0.380
12 B 0.362 0.530 0.832
13 B 0.374 0.204 0.678
14 B 0.374 0.696 0.169
15 B 0.405 0.177 0.905
16 B 0.405 0.500 0.228
17 B 0.595 0.500 0.772
18 B 0.595 0.823 0.095
19 B 0.626 0.304 0.831
20 B 0.626 0.796 0.322
21 B 0.638 0.470 0.168
22 B 0.747 0.127 0.620
23 B 0.753 0.673 0.079
24 B 0.772 0.177 0.272
25 B 0.772 0.500 0.595
26 B 0.801 0.470 0.332
27 B 0.906 0.327 0.579
28 B 0.974 0.304 0.178
29 B 0.974 0.796 0.669
30 B 0.992 0.873 0.120
31 Mo 0.000 0.000 0.500
32 Mo 0.000 0.500 0.000

D(E_F), states/eV per cell: 11.3
Formation energy, eV per atom: -0.10
Space-group type: No. 74
Energy, eV/atom: -7.21

---

# 15
A geometry-optimized PaB3Mo structure, computed with PBE.

Cell: 9.666 9.666 3.116 Å, 90.00 90.00 156.72°
Sites, in units of the cell vectors:
1 Pa 0.072 0.928 0.750
2 Pa 0.928 0.072 0.250
3 B 0.324 0.676 0.250
4 B 0.373 0.627 0.750
5 B 0.475 0.525 0.750
6 B 0.525 0.475 0.250
7 B 0.627 0.373 0.250
8 B 0.676 0.324 0.750
9 Mo 0.202 0.798 0.250
10 Mo 0.798 0.202 0.750

D(E_F), states/eV per cell: 5.0
Formation energy, eV per atom: -0.44
Space-group type: No. 63
Energy, eV/atom: -8.51

---

# 16
A geometry-optimized PaBMo2 structure, computed with PBE.

Cell: 8.119 8.119 8.119 Å, 22.08 22.08 22.08°
Sites, in units of the cell vectors:
1 Pa 0.000 0.000 0.000
2 B 0.500 0.500 0.500
3 Mo 0.115 0.115 0.115
4 Mo 0.885 0.885 0.885

D(E_F), states/eV per cell: 3.3
Formation energy, eV per atom: 0.21
Space-group type: No. 166
Energy, eV/atom: -9.25

---

# 17
A geometry-optimized PaBMo structure, computed with PBE.

Cell: 3.975 3.975 7.324 Å, 98.43 98.43 62.28°
Sites, in units of the cell vectors:
1 Pa 0.225 0.225 0.359
2 Pa 0.775 0.775 0.641
3 B 0.487 0.487 0.875
4 B 0.513 0.513 0.125
5 Mo 0.155 0.155 0.935
6 Mo 0.845 0.845 0.065

D(E_F), states/eV per cell: 8.7
Formation energy, eV per atom: 0.22
Space-group type: No. 12
Energy, eV/atom: -8.78

---

# 18
A geometry-optimized PaBMo structure, computed with PBE.

Cell: 3.872 3.872 3.906 Å, 90.00 90.00 120.00°
Sites, in units of the cell vectors:
1 Pa 0.000 0.000 0.000
2 B 0.333 0.667 0.500
3 Mo 0.667 0.333 0.500

D(E_F), states/eV per cell: 1.1
Formation energy, eV per atom: 0.01
Space-group type: No. 187
Energy, eV/atom: -9.00

---

# 19
A geometry-optimized PaB4Mo4 structure, computed with PBE.

Cell: 7.467 7.467 4.387 Å, 90.00 90.00 90.00°
Sites, in units of the cell vectors:
1 Pa 0.250 0.250 0.250
2 Pa 0.750 0.750 0.750
3 B 0.065 0.925 0.108
4 B 0.075 0.565 0.608
5 B 0.425 0.935 0.608
6 B 0.435 0.575 0.108
7 B 0.565 0.425 0.892
8 B 0.575 0.065 0.392
9 B 0.925 0.435 0.392
10 B 0.935 0.075 0.892
11 Mo 0.118 0.619 0.110
12 Mo 0.119 0.882 0.610
13 Mo 0.381 0.618 0.610
14 Mo 0.382 0.881 0.110
15 Mo 0.618 0.119 0.890
16 Mo 0.619 0.382 0.390
17 Mo 0.881 0.118 0.390
18 Mo 0.882 0.381 0.890

D(E_F), states/eV per cell: 8.7
Formation energy, eV per atom: -0.28
Space-group type: No. 86
Energy, eV/atom: -9.12

---

# 20
A geometry-optimized Pa2BMo structure, computed with PBE.

Cell: 8.314 8.314 8.314 Å, 23.81 23.81 23.81°
Sites, in units of the cell vectors:
1 Pa 0.104 0.104 0.104
2 Pa 0.896 0.896 0.896
3 B 0.500 0.500 0.500
4 Mo 0.000 0.000 0.000

D(E_F), states/eV per cell: 4.6
Formation energy, eV per atom: 0.48
Space-group type: No. 166
Energy, eV/atom: -8.65

---

# 21
A geometry-optimized BMoPb structure, computed with PBE.

Cell: 3.078 5.726 6.188 Å, 101.21 90.00 105.58°
Sites, in units of the cell vectors:
1 B 0.000 0.000 0.000
2 B 0.489 0.977 0.891
3 Mo 0.540 0.079 0.264
4 Mo 0.962 0.923 0.624
5 Pb 0.275 0.553 0.253
6 Pb 0.701 0.413 0.721

D(E_F), states/eV per cell: 3.0
Formation energy, eV per atom: 0.27
Space-group type: No. 1
Energy, eV/atom: -6.81

---

# 22
A geometry-optimized B3MoPb structure, computed with PBE.

Cell: 4.407 4.407 4.407 Å, 90.00 90.00 90.00°
Sites, in units of the cell vectors:
1 B 0.000 0.000 0.500
2 B 0.000 0.500 0.000
3 B 0.500 0.000 0.000
4 Mo 0.500 0.500 0.500
5 Pb 0.000 0.000 0.000

D(E_F), states/eV per cell: 7.8
Formation energy, eV per atom: 3.07
Space-group type: No. 221
Energy, eV/atom: -3.84

---

# 23
A geometry-optimized BMoPb structure, computed with PBE.

Cell: 4.121 3.198 7.582 Å, 90.00 97.41 90.00°
Sites, in units of the cell vectors:
1 B 0.109 0.250 0.006
2 B 0.891 0.750 0.994
3 Mo 0.346 0.750 0.858
4 Mo 0.654 0.250 0.142
5 Pb 0.215 0.750 0.354
6 Pb 0.785 0.250 0.646

D(E_F), states/eV per cell: 3.8
Formation energy, eV per atom: 0.19
Space-group type: No. 11
Energy, eV/atom: -6.88

---

# 24
A geometry-optimized BMoPb structure, computed with PBE.

Cell: 4.272 3.080 8.575 Å, 90.00 98.54 90.00°
Sites, in units of the cell vectors:
1 B 0.000 0.000 0.000
2 B 0.192 0.500 0.033
3 Mo 0.260 0.000 0.242
4 Mo 0.715 0.500 0.117
5 Pb 0.432 0.000 0.800
6 Pb 0.837 0.500 0.463

D(E_F), states/eV per cell: 4.0
Formation energy, eV per atom: 0.28
Space-group type: No. 6
Energy, eV/atom: -6.79

---

# 25
A geometry-optimized B3MoPb structure, computed with PBE.

Cell: 4.297 4.297 4.297 Å, 90.00 90.00 90.00°
Sites, in units of the cell vectors:
1 B 0.000 0.000 0.500
2 B 0.000 0.500 0.000
3 B 0.500 0.000 0.000
4 Mo 0.000 0.000 0.000
5 Pb 0.500 0.500 0.500

D(E_F), states/eV per cell: 3.1
Formation energy, eV per atom: 1.10
Space-group type: No. 221
Energy, eV/atom: -5.81

---

# 26
A geometry-optimized BMoPb structure, computed with PBE.

Cell: 3.389 4.336 8.388 Å, 90.00 90.00 90.00°
Sites, in units of the cell vectors:
1 B 0.250 0.250 0.099
2 B 0.750 0.750 0.901
3 Mo 0.250 0.750 0.064
4 Mo 0.750 0.250 0.936
5 Pb 0.250 0.750 0.681
6 Pb 0.750 0.250 0.319

D(E_F), states/eV per cell: 3.3
Formation energy, eV per atom: 0.27
Space-group type: No. 59
Energy, eV/atom: -6.80

---

Number 1: density 7.86 Mg/m³. Number 2: density 5.82 Mg/m³. Number 3: density 8.28 Mg/m³. Number 4: density 4.88 Mg/m³. Number 5: density 9.56 Mg/m³. Number 6: density 3.24 Mg/m³. Number 7: density 4.81 Mg/m³. Number 8: density 4.60 Mg/m³. Number 9: density 6.90 Mg/m³. Number 10: density 5.00 Mg/m³. Number 11: density 9.20 Mg/m³. Number 12: density 11.48 Mg/m³. Number 13: density 11.99 Mg/m³. Number 14: density 6.04 Mg/m³. Number 15: density 10.37 Mg/m³. Number 16: density 10.87 Mg/m³. Number 17: density 11.11 Mg/m³. Number 18: density 11.06 Mg/m³. Number 19: density 8.94 Mg/m³. Number 20: density 11.48 Mg/m³. Number 21: density 10.13 Mg/m³. Number 22: density 6.51 Mg/m³. Number 23: density 10.52 Mg/m³. Number 24: density 9.34 Mg/m³. Number 25: density 7.02 Mg/m³. Number 26: density 8.46 Mg/m³.